Version 1
RbHfI2N: relaxed, PBE.

```
data_RbHfI2N
_cell_length_a 6.266
_cell_length_b 6.266
_cell_length_c 4.270
_cell_angle_alpha 90.00
_cell_angle_beta 90.00
_cell_angle_gamma 90.00
_space_group_name_H-M_alt 'P 4/m m m'
_space_group_IT_number 123
_space_group_name_Hall '-P 4 2'
loop_
_atom_site_label
_atom_site_fract_x
_atom_site_fract_y
_atom_site_fract_z
Rb1 0.000 0.000 0.000
Hf1 0.500 0.500 0.500
I1 0.000 0.500 0.000
N1 0.000 0.000 0.500
```

Version 2
RbHfI2N: relaxed, PBE.

```
data_RbHfI2N
_cell_length_a 6.106
_cell_length_b 6.106
_cell_length_c 4.081
_cell_angle_alpha 90.00
_cell_angle_beta 90.00
_cell_angle_gamma 90.00
_space_group_name_H-M_alt 'P 4/m m m'
_space_group_IT_number 123
_space_group_name_Hall '-P 4 2'
loop_
_atom_site_label
_atom_site_fract_x
_atom_site_fract_y
_atom_site_fract_z
Rb1 0.000 0.000 0.000
Hf1 0.500 0.500 0.500
I1 0.000 0.500 0.500
N1 0.500 0.500 0.000
```

Stability check: which of them is least stable? version 1.

Version 1
HfRhI2N: relaxed, PBE.

```
data_HfRhI2N
_cell_length_a 5.812
_cell_length_b 5.812
_cell_length_c 3.935
_cell_angle_alpha 90.00
_cell_angle_beta 90.00
_cell_angle_gamma 90.00
_space_group_name_H-M_alt 'P 4/m m m'
_space_group_IT_number 123
_space_group_name_Hall '-P 4 2'
loop_
_atom_site_label
_atom_site_fract_x
_atom_site_fract_y
_atom_site_fract_z
Hf1 0.000 0.000 0.000
Rh1 0.500 0.500 0.500
I1 0.000 0.500 0.000
N1 0.000 0.000 0.500
```

Version 2
HfRhI2N: relaxed, PBE.

```
data_HfRhI2N
_cell_length_a 5.619
_cell_length_b 5.619
_cell_length_c 3.666
_cell_angle_alpha 90.00
_cell_angle_beta 90.00
_cell_angle_gamma 90.00
_space_group_name_H-M_alt 'P 4/m m m'
_space_group_IT_number 123
_space_group_name_Hall '-P 4 2'
loop_
_atom_site_label
_atom_site_fract_x
_atom_site_fract_y
_atom_site_fract_z
Hf1 0.000 0.000 0.000
Rh1 0.500 0.500 0.500
I1 0.000 0.500 0.500
N1 0.500 0.500 0.000
```

Stability check: which of them is least stable? version 2.

Version 1
HfRhIN2: relaxed, PBE.

```
data_HfRhIN2
_cell_length_a 4.055
_cell_length_b 4.055
_cell_length_c 5.142
_cell_angle_alpha 90.00
_cell_angle_beta 90.00
_cell_angle_gamma 90.00
_space_group_name_H-M_alt 'P 4/m m m'
_space_group_IT_number 123
_space_group_name_Hall '-P 4 2'
loop_
_atom_site_label
_atom_site_fract_x
_atom_site_fract_y
_atom_site_fract_z
Hf1 0.000 0.000 0.000
Rh1 0.500 0.500 0.500
I1 0.500 0.500 0.000
N1 0.000 0.500 0.500
```

Version 2
HfRhIN2: relaxed, PBE.

```
data_HfRhIN2
_cell_length_a 4.062
_cell_length_b 4.062
_cell_length_c 6.179
_cell_angle_alpha 90.00
_cell_angle_beta 90.00
_cell_angle_gamma 90.00
_space_group_name_H-M_alt 'P 4/m m m'
_space_group_IT_number 123
_space_group_name_Hall '-P 4 2'
loop_
_atom_site_label
_atom_site_fract_x
_atom_site_fract_y
_atom_site_fract_z
Hf1 0.000 0.000 0.000
Rh1 0.500 0.500 0.500
I1 0.000 0.000 0.500
N1 0.000 0.500 0.000
```

Stability check: which of them is least stable? version 1.

Version 1
HfSI2N: relaxed, PBE.

```
data_HfSI2N
_cell_length_a 5.896
_cell_length_b 5.896
_cell_length_c 3.986
_cell_angle_alpha 90.00
_cell_angle_beta 90.00
_cell_angle_gamma 90.00
_space_group_name_H-M_alt 'P 4/m m m'
_space_group_IT_number 123
_space_group_name_Hall '-P 4 2'
loop_
_atom_site_label
_atom_site_fract_x
_atom_site_fract_y
_atom_site_fract_z
Hf1 0.000 0.000 0.000
S1 0.500 0.500 0.500
I1 0.000 0.500 0.000
N1 0.000 0.000 0.500
```

Version 2
HfSI2N: relaxed, PBE.

```
data_HfSI2N
_cell_length_a 5.844
_cell_length_b 5.844
_cell_length_c 3.405
_cell_angle_alpha 90.00
_cell_angle_beta 90.00
_cell_angle_gamma 90.00
_space_group_name_H-M_alt 'P 4/m m m'
_space_group_IT_number 123
_space_group_name_Hall '-P 4 2'
loop_
_atom_site_label
_atom_site_fract_x
_atom_site_fract_y
_atom_site_fract_z
Hf1 0.000 0.000 0.000
S1 0.500 0.500 0.500
I1 0.000 0.500 0.500
N1 0.500 0.500 0.000
```

Stability check: which of them is least stable? version 2.

Version 1
HfSbI2N: relaxed, PBE.

```
data_HfSbI2N
_cell_length_a 5.979
_cell_length_b 5.979
_cell_length_c 3.951
_cell_angle_alpha 90.00
_cell_angle_beta 90.00
_cell_angle_gamma 90.00
_space_group_name_H-M_alt 'P 4/m m m'
_space_group_IT_number 123
_space_group_name_Hall '-P 4 2'
loop_
_atom_site_label
_atom_site_fract_x
_atom_site_fract_y
_atom_site_fract_z
Hf1 0.000 0.000 0.000
Sb1 0.500 0.500 0.500
I1 0.000 0.500 0.000
N1 0.000 0.000 0.500
```

Version 2
HfSbI2N: relaxed, PBE.

```
data_HfSbI2N
_cell_length_a 4.818
_cell_length_b 4.818
_cell_length_c 4.935
_cell_angle_alpha 90.00
_cell_angle_beta 90.00
_cell_angle_gamma 90.00
_space_group_name_H-M_alt 'P 4/m m m'
_space_group_IT_number 123
_space_group_name_Hall '-P 4 2'
loop_
_atom_site_label
_atom_site_fract_x
_atom_site_fract_y
_atom_site_fract_z
Hf1 0.000 0.000 0.000
Sb1 0.500 0.500 0.000
I1 0.000 0.500 0.500
N1 0.500 0.500 0.500
```

Version 3
HfSbI2N: relaxed, PBE.

```
data_HfSbI2N
_cell_length_a 6.179
_cell_length_b 6.179
_cell_length_c 3.918
_cell_angle_alpha 90.00
_cell_angle_beta 90.00
_cell_angle_gamma 90.00
_space_group_name_H-M_alt 'P 4/m m m'
_space_group_IT_number 123
_space_group_name_Hall '-P 4 2'
loop_
_atom_site_label
_atom_site_fract_x
_atom_site_fract_y
_atom_site_fract_z
Hf1 0.000 0.000 0.000
Sb1 0.500 0.500 0.500
I1 0.000 0.500 0.500
N1 0.500 0.500 0.000
```

Stability check: which of them is least stable? version 3.

Version 1
HfSbIN2: relaxed, PBE.

```
data_HfSbIN2
_cell_length_a 4.291
_cell_length_b 4.291
_cell_length_c 5.780
_cell_angle_alpha 90.00
_cell_angle_beta 90.00
_cell_angle_gamma 90.00
_space_group_name_H-M_alt 'P 4/m m m'
_space_group_IT_number 123
_space_group_name_Hall '-P 4 2'
loop_
_atom_site_label
_atom_site_fract_x
_atom_site_fract_y
_atom_site_fract_z
Hf1 0.000 0.000 0.000
Sb1 0.500 0.500 0.500
I1 0.000 0.000 0.500
N1 0.000 0.500 0.000
```

Version 2
HfSbIN2: relaxed, PBE.

```
data_HfSbIN2
_cell_length_a 4.170
_cell_length_b 4.170
_cell_length_c 5.721
_cell_angle_alpha 90.00
_cell_angle_beta 90.00
_cell_angle_gamma 90.00
_space_group_name_H-M_alt 'P 4/m m m'
_space_group_IT_number 123
_space_group_name_Hall '-P 4 2'
loop_
_atom_site_label
_atom_site_fract_x
_atom_site_fract_y
_atom_site_fract_z
Hf1 0.000 0.000 0.000
Sb1 0.500 0.500 0.500
I1 0.500 0.500 0.000
N1 0.000 0.500 0.500
```

Stability check: which of them is least stable? version 2.

Version 1
HfSb2IN: relaxed, PBE.

```
data_HfSb2IN
_cell_length_a 5.550
_cell_length_b 5.550
_cell_length_c 5.451
_cell_angle_alpha 90.00
_cell_angle_beta 90.00
_cell_angle_gamma 90.00
_space_group_name_H-M_alt 'P 4/m m m'
_space_group_IT_number 123
_space_group_name_Hall '-P 4 2'
loop_
_atom_site_label
_atom_site_fract_x
_atom_site_fract_y
_atom_site_fract_z
Hf1 0.000 0.000 0.000
Sb1 0.000 0.500 0.000
I1 0.000 0.000 0.500
N1 0.500 0.500 0.500
```

Version 2
HfSb2IN: relaxed, PBE.

```
data_HfSb2IN
_cell_length_a 4.793
_cell_length_b 4.793
_cell_length_c 4.687
_cell_angle_alpha 90.00
_cell_angle_beta 90.00
_cell_angle_gamma 90.00
_space_group_name_H-M_alt 'P 4/m m m'
_space_group_IT_number 123
_space_group_name_Hall '-P 4 2'
loop_
_atom_site_label
_atom_site_fract_x
_atom_site_fract_y
_atom_site_fract_z
Hf1 0.000 0.000 0.000
Sb1 0.000 0.500 0.500
I1 0.500 0.500 0.000
N1 0.500 0.500 0.500
```

Stability check: which of them is least stable? version 1.

Version 1
HfSeI2N: relaxed, PBE.

```
data_HfSeI2N
_cell_length_a 5.863
_cell_length_b 5.863
_cell_length_c 3.965
_cell_angle_alpha 90.00
_cell_angle_beta 90.00
_cell_angle_gamma 90.00
_space_group_name_H-M_alt 'P 4/m m m'
_space_group_IT_number 123
_space_group_name_Hall '-P 4 2'
loop_
_atom_site_label
_atom_site_fract_x
_atom_site_fract_y
_atom_site_fract_z
Hf1 0.000 0.000 0.000
Se1 0.500 0.500 0.500
I1 0.000 0.500 0.000
N1 0.000 0.000 0.500
```

Version 2
HfSeI2N: relaxed, PBE.

```
data_HfSeI2N
_cell_length_a 5.823
_cell_length_b 5.823
_cell_length_c 5.061
_cell_angle_alpha 90.00
_cell_angle_beta 90.00
_cell_angle_gamma 90.00
_space_group_name_H-M_alt 'P 4/m m m'
_space_group_IT_number 123
_space_group_name_Hall '-P 4 2'
loop_
_atom_site_label
_atom_site_fract_x
_atom_site_fract_y
_atom_site_fract_z
Hf1 0.000 0.000 0.000
Se1 0.000 0.000 0.500
I1 0.000 0.500 0.000
N1 0.500 0.500 0.500
```

Version 3
HfSeI2N: relaxed, PBE.

```
data_HfSeI2N
_cell_length_a 5.988
_cell_length_b 5.988
_cell_length_c 3.646
_cell_angle_alpha 90.00
_cell_angle_beta 90.00
_cell_angle_gamma 90.00
_space_group_name_H-M_alt 'P 4/m m m'
_space_group_IT_number 123
_space_group_name_Hall '-P 4 2'
loop_
_atom_site_label
_atom_site_fract_x
_atom_site_fract_y
_atom_site_fract_z
Hf1 0.000 0.000 0.000
Se1 0.500 0.500 0.500
I1 0.000 0.500 0.500
N1 0.500 0.500 0.000
```

Stability check: which of them is least stable? version 3.

Version 1
SrHfI2N: relaxed, PBE.

```
data_SrHfI2N
_cell_length_a 5.909
_cell_length_b 5.909
_cell_length_c 4.100
_cell_angle_alpha 90.00
_cell_angle_beta 90.00
_cell_angle_gamma 90.00
_space_group_name_H-M_alt 'P 4/m m m'
_space_group_IT_number 123
_space_group_name_Hall '-P 4 2'
loop_
_atom_site_label
_atom_site_fract_x
_atom_site_fract_y
_atom_site_fract_z
Sr1 0.000 0.000 0.000
Hf1 0.500 0.500 0.500
I1 0.000 0.500 0.500
N1 0.500 0.500 0.000
```

Version 2
SrHfI2N: relaxed, PBE.

```
data_SrHfI2N
_cell_length_a 6.156
_cell_length_b 6.156
_cell_length_c 4.265
_cell_angle_alpha 90.00
_cell_angle_beta 90.00
_cell_angle_gamma 90.00
_space_group_name_H-M_alt 'P 4/m m m'
_space_group_IT_number 123
_space_group_name_Hall '-P 4 2'
loop_
_atom_site_label
_atom_site_fract_x
_atom_site_fract_y
_atom_site_fract_z
Sr1 0.000 0.000 0.000
Hf1 0.500 0.500 0.500
I1 0.000 0.500 0.000
N1 0.000 0.000 0.500
```

Stability check: which of them is least stable? version 2.

Version 1
HfTaIN2: relaxed, PBE.

```
data_HfTaIN2
_cell_length_a 4.161
_cell_length_b 4.161
_cell_length_c 5.554
_cell_angle_alpha 90.00
_cell_angle_beta 90.00
_cell_angle_gamma 90.00
_space_group_name_H-M_alt 'P 4/m m m'
_space_group_IT_number 123
_space_group_name_Hall '-P 4 2'
loop_
_atom_site_label
_atom_site_fract_x
_atom_site_fract_y
_atom_site_fract_z
Hf1 0.000 0.000 0.000
Ta1 0.500 0.500 0.500
I1 0.000 0.000 0.500
N1 0.000 0.500 0.000
```

Version 2
HfTaIN2: relaxed, PBE.

```
data_HfTaIN2
_cell_length_a 4.097
_cell_length_b 4.097
_cell_length_c 5.473
_cell_angle_alpha 90.00
_cell_angle_beta 90.00
_cell_angle_gamma 90.00
_space_group_name_H-M_alt 'P 4/m m m'
_space_group_IT_number 123
_space_group_name_Hall '-P 4 2'
loop_
_atom_site_label
_atom_site_fract_x
_atom_site_fract_y
_atom_site_fract_z
Hf1 0.000 0.000 0.000
Ta1 0.500 0.500 0.500
I1 0.500 0.500 0.000
N1 0.000 0.500 0.500
```

Stability check: which of them is least stable? version 1.

Version 1
HfTaI2N: relaxed, PBE.

```
data_HfTaI2N
_cell_length_a 5.816
_cell_length_b 5.816
_cell_length_c 3.899
_cell_angle_alpha 90.00
_cell_angle_beta 90.00
_cell_angle_gamma 90.00
_space_group_name_H-M_alt 'P 4/m m m'
_space_group_IT_number 123
_space_group_name_Hall '-P 4 2'
loop_
_atom_site_label
_atom_site_fract_x
_atom_site_fract_y
_atom_site_fract_z
Hf1 0.000 0.000 0.000
Ta1 0.500 0.500 0.500
I1 0.000 0.500 0.000
N1 0.000 0.000 0.500
```

Version 2
HfTaI2N: relaxed, PBE.

```
data_HfTaI2N
_cell_length_a 5.686
_cell_length_b 5.686
_cell_length_c 3.873
_cell_angle_alpha 90.00
_cell_angle_beta 90.00
_cell_angle_gamma 90.00
_space_group_name_H-M_alt 'P 4/m m m'
_space_group_IT_number 123
_space_group_name_Hall '-P 4 2'
loop_
_atom_site_label
_atom_site_fract_x
_atom_site_fract_y
_atom_site_fract_z
Hf1 0.000 0.000 0.000
Ta1 0.500 0.500 0.500
I1 0.000 0.500 0.500
N1 0.500 0.500 0.000
```

Stability check: which of them is least stable? version 1.

Version 1
HfTcIN2: relaxed, PBE.

```
data_HfTcIN2
_cell_length_a 4.151
_cell_length_b 4.151
_cell_length_c 5.945
_cell_angle_alpha 90.00
_cell_angle_beta 90.00
_cell_angle_gamma 90.00
_space_group_name_H-M_alt 'P 4/m m m'
_space_group_IT_number 123
_space_group_name_Hall '-P 4 2'
loop_
_atom_site_label
_atom_site_fract_x
_atom_site_fract_y
_atom_site_fract_z
Hf1 0.000 0.000 0.000
Tc1 0.500 0.500 0.500
I1 0.000 0.000 0.500
N1 0.000 0.500 0.000
```

Version 2
HfTcIN2: relaxed, PBE.

```
data_HfTcIN2
_cell_length_a 3.993
_cell_length_b 3.993
_cell_length_c 5.321
_cell_angle_alpha 90.00
_cell_angle_beta 90.00
_cell_angle_gamma 90.00
_space_group_name_H-M_alt 'P 4/m m m'
_space_group_IT_number 123
_space_group_name_Hall '-P 4 2'
loop_
_atom_site_label
_atom_site_fract_x
_atom_site_fract_y
_atom_site_fract_z
Hf1 0.000 0.000 0.000
Tc1 0.500 0.500 0.500
I1 0.500 0.500 0.000
N1 0.000 0.500 0.500
```

Stability check: which of them is least stable? version 2.

Version 1
HfTeI2N: relaxed, PBE.

```
data_HfTeI2N
_cell_length_a 5.975
_cell_length_b 5.975
_cell_length_c 3.970
_cell_angle_alpha 90.00
_cell_angle_beta 90.00
_cell_angle_gamma 90.00
_space_group_name_H-M_alt 'P 4/m m m'
_space_group_IT_number 123
_space_group_name_Hall '-P 4 2'
loop_
_atom_site_label
_atom_site_fract_x
_atom_site_fract_y
_atom_site_fract_z
Hf1 0.000 0.000 0.000
Te1 0.500 0.500 0.500
I1 0.000 0.500 0.000
N1 0.000 0.000 0.500
```

Version 2
HfTeI2N: relaxed, PBE.

```
data_HfTeI2N
_cell_length_a 6.221
_cell_length_b 6.221
_cell_length_c 3.927
_cell_angle_alpha 90.00
_cell_angle_beta 90.00
_cell_angle_gamma 90.00
_space_group_name_H-M_alt 'P 4/m m m'
_space_group_IT_number 123
_space_group_name_Hall '-P 4 2'
loop_
_atom_site_label
_atom_site_fract_x
_atom_site_fract_y
_atom_site_fract_z
Hf1 0.000 0.000 0.000
Te1 0.500 0.500 0.500
I1 0.000 0.500 0.500
N1 0.500 0.500 0.000
```

Stability check: which of them is least stable? version 2.